# GGA-PBE Be2CdW, optimized geometry
# Theoretical density in g/cm³: 9.04
# E_form in meV/atom: 468
# Space-group type: R-3m, No. 166
# E_tot in eV per atom: -4.862
data_Be2CdW
_chemical_formula_sum 'Be2 Cd1 W1'
_cell_length_a 8.694
_cell_length_b 8.694
_cell_length_c 8.694
_cell_angle_alpha 18.49
_cell_angle_beta 18.49
_cell_angle_gamma 18.49
_symmetry_space_group_name_H-M 'P 1'
_symmetry_Int_Tables_number 1
_symmetry_space_group_name_Hall 'P 1'
loop_
_atom_site_label
_atom_site_type_symbol
_atom_site_fract_x
_atom_site_fract_y
_atom_site_fract_z
Be1 Be 0.243 0.243 0.243
Be2 Be 0.757 0.757 0.757
Cd1 Cd 0.000 0.000 0.000
W1 W 0.500 0.500 0.500